LiHoZr2Rh4 | PBE | optimized geometry

Cell and atoms, written as CIF:
```
data_LiHoZr2Rh4
_cell_length_a 4.597
_cell_length_b 4.597
_cell_length_c 8.010
_cell_angle_alpha 73.32
_cell_angle_beta 73.32
_cell_angle_gamma 60.00
_space_group_name_H-M_alt 'P 1'
_space_group_IT_number 1
_space_group_name_Hall 'P 1'
loop_
_atom_site_label
_atom_site_type_symbol
_atom_site_fract_x
_atom_site_fract_y
_atom_site_fract_z
Li1 Li 0.500 0.500 0.500
Ho1 Ho 0.000 0.000 0.000
Zr1 Zr 0.758 0.758 0.727
Zr2 Zr 0.242 0.242 0.273
Rh1 Rh 0.377 0.377 0.868
Rh2 Rh 0.875 0.875 0.374
Rh3 Rh 0.125 0.125 0.626
Rh4 Rh 0.623 0.623 0.132
```

Energy of formation from the pure elements (meV/atom): -732
Magnetization (Bohr magnetons per cell): 0.00
Calculated volume (Å³ per cell): 138


Pm7Y3Th | PBE | optimized geometry

Cell and atoms, written as CIF:
```
data_Pm7Y3Th
_cell_length_a 10.226
_cell_length_b 10.226
_cell_length_c 12.541
_cell_angle_alpha 66.06
_cell_angle_beta 113.95
_cell_angle_gamma 138.53
_space_group_name_H-M_alt 'P 1'
_space_group_IT_number 1
_space_group_name_Hall 'P 1'
loop_
_atom_site_label
_atom_site_type_symbol
_atom_site_fract_x
_atom_site_fract_y
_atom_site_fract_z
Pm1 Pm 0.167 0.840 0.278
Pm2 Pm 0.160 0.833 0.778
Pm3 Pm 0.089 0.421 0.471
Pm4 Pm 0.086 0.418 0.972
Pm5 Pm 0.579 0.912 0.971
Pm6 Pm 0.582 0.914 0.472
Pm7 Pm 0.267 0.267 0.750
Pm8 Pm 0.733 0.733 0.250
Pm9 Pm 0.421 0.088 0.029
Pm10 Pm 0.418 0.086 0.528
Pm11 Pm 0.914 0.582 0.028
Pm12 Pm 0.911 0.579 0.529
Pm13 Pm 0.840 0.167 0.222
Pm14 Pm 0.833 0.160 0.722
Y1 Y 0.335 0.666 0.726
Y2 Y 0.000 0.000 0.000
Y3 Y 0.000 0.000 0.500
Y4 Y 0.334 0.666 0.226
Y5 Y 0.666 0.334 0.774
Y6 Y 0.665 0.334 0.274
Th1 Th 0.500 0.500 0.000
Th2 Th 0.500 0.500 0.500
```

Energy of formation from the pure elements (meV/atom): 194
Magnetization (Bohr magnetons per cell): 0.00
Offset from the most stable computed form (eV per formula unit): 0.050
Calculated volume (Å³ per cell): 782


TaCoNi2 | PBE | optimized geometry

Cell and atoms, written as CIF:
```
data_TaCoNi2
_cell_length_a 3.502
_cell_length_b 3.502
_cell_length_c 9.008
_cell_angle_alpha 78.79
_cell_angle_beta 78.79
_cell_angle_gamma 90.00
_space_group_name_H-M_alt 'P 1'
_space_group_IT_number 1
_space_group_name_Hall 'P 1'
loop_
_atom_site_label
_atom_site_type_symbol
_atom_site_fract_x
_atom_site_fract_y
_atom_site_fract_z
Ni1 Ni 0.601 0.125 0.250
Ni2 Ni 0.149 0.625 0.250
Ni3 Ni 0.375 0.399 0.750
Ni4 Ni 0.875 0.851 0.750
Co1 Co 0.500 0.500 0.000
Co2 Co 0.250 0.750 0.500
Ta1 Ta 0.000 0.000 0.000
Ta2 Ta 0.750 0.250 0.500
```

Energy of formation from the pure elements (meV/atom): 173
Magnetization (Bohr magnetons per cell): 0.00
Offset from the most stable computed form (eV per formula unit): 2.012
Calculated volume (Å³ per cell): 106


Across the entries above, theoretical density takes the values 9.2; 6.4; 11.2 g cm⁻³, respectively.